No. 1
Density functional theory data (GGA-PBEsol) for a geometry-optimized KO2 structure.

Structure (POSCAR):
```
KO2
1.0
-1.927 1.927 3.302
1.927 -1.927 3.302
1.927 1.927 -3.302
K O
1 2
Direct
0.000 0.000 0.000 K
0.398 0.398 0.000 O
0.602 0.602 0.000 O
```

The calculation puts the uncorrected formation energy at -81.9 kJ/mol of atoms.

***

No. 2
Density functional theory data (GGA-PBEsol) for a geometry-optimized K2O structure.

Structure (POSCAR):
```
K2O
1.0
6.936 0.000 0.000
-3.468 6.006 0.000
0.000 0.000 4.187
K O
6 3
Direct
0.000 0.407 0.000 K
0.000 0.737 0.500 K
0.263 0.263 0.500 K
0.407 0.000 0.000 K
0.593 0.593 0.000 K
0.737 0.000 0.500 K
0.000 0.000 0.000 O
0.333 0.667 0.502 O
0.667 0.333 0.494 O
```

The calculation puts the uncorrected formation energy at -96.1 kJ/mol of atoms.

***

No. 3
Density functional theory data (GGA-PBEsol) for a geometry-optimized K2O structure.

Structure (POSCAR):
```
K2O
1.0
0.000 3.171 3.171
3.171 0.000 3.171
3.171 3.171 0.000
K O
2 1
Direct
0.250 0.250 0.250 K
0.750 0.750 0.750 K
0.000 0.000 0.000 O
```

The calculation puts the uncorrected formation energy at -101.1 kJ/mol of atoms.

***

No. 4
Density functional theory data (GGA-PBEsol) for a geometry-optimized K2O structure.

Structure (POSCAR):
```
K2O
1.0
2.101 -3.646 0.000
2.101 3.646 0.000
0.000 0.000 8.712
K O
4 2
Direct
0.000 0.000 0.000 K
0.000 0.000 0.500 K
0.333 0.667 0.741 K
0.667 0.333 0.241 K
0.335 0.665 0.115 O
0.665 0.335 0.615 O
```

The calculation puts the uncorrected formation energy at -95.2 kJ/mol of atoms.

***

No. 5
Density functional theory data (GGA-PBEsol) for a geometry-optimized K2O structure.

Structure (POSCAR):
```
K2O
1.0
-2.560 2.560 6.578
2.560 -2.560 6.578
2.560 2.560 -6.578
K O
4 2
Direct
0.074 0.324 0.750 K
0.324 0.074 0.250 K
0.676 0.926 0.750 K
0.926 0.676 0.250 K
0.125 0.875 0.250 O
0.875 0.125 0.750 O
```

The calculation puts the uncorrected formation energy at -95.1 kJ/mol of atoms.

***

No. 6
Density functional theory data (GGA-PBEsol) for a geometry-optimized K2O structure.

Structure (POSCAR):
```
K2O
1.0
6.499 0.000 0.000
0.000 6.499 0.000
0.000 0.000 6.497
K O
8 4
Direct
0.000 0.000 0.000 K
0.000 0.000 0.500 K
0.000 0.500 0.250 K
0.000 0.500 0.750 K
0.500 0.000 0.250 K
0.500 0.000 0.750 K
0.500 0.500 0.250 K
0.500 0.500 0.750 K
0.268 0.268 0.000 O
0.268 0.732 0.500 O
0.732 0.268 0.500 O
0.732 0.732 0.000 O
```

The calculation puts the uncorrected formation energy at -95.2 kJ/mol of atoms.

***

No. 7
Density functional theory data (GGA-PBEsol) for a geometry-optimized KO structure.

Structure (POSCAR):
```
KO
1.0
6.991 0.000 0.000
-3.495 6.054 0.000
0.000 0.000 5.026
K O
6 6
Direct
0.000 0.367 0.000 K
0.000 0.706 0.500 K
0.294 0.294 0.500 K
0.367 0.000 0.000 K
0.633 0.633 0.000 K
0.706 0.000 0.500 K
0.000 0.000 0.150 O
0.000 0.000 0.850 O
0.333 0.667 0.349 O
0.333 0.667 0.651 O
0.667 0.333 0.349 O
0.667 0.333 0.651 O
```

The calculation puts the uncorrected formation energy at -101.0 kJ/mol of atoms.

***

No. 8
Density functional theory data (GGA-PBEsol) for a geometry-optimized KO3 structure.

Structure (POSCAR):
```
KO3
1.0
-2.072 2.840 3.129
2.072 -2.840 3.129
2.072 2.840 -3.129
K O
1 3
Direct
0.000 0.000 0.000 K
0.393 0.593 0.800 O
0.475 0.475 0.000 O
0.793 0.593 0.200 O
```

The calculation puts the uncorrected formation energy at -59.7 kJ/mol of atoms.